1.
## YSiAu2 (PBE)

Data for a geometry-optimized YSiAu2 structure.

The calculation puts the raw formation energy at -45.6 kJ per mole of atoms. Its energy is -5.084 eV/atom. The calculation puts the total magnetic moment at 0.00 Bohr magnetons per cell. The density of states at the Fermi level comes out at 0.438 states/eV per atom.

a b c (Å): 4.1895 5.0011 7.6717
angles (deg): 90.00 90.00 90.00
Closest atoms and distances in Å follow each position.
Space group Imm2 (No. 44)
Inequivalent atoms, fractional coordinates:
1 Y 0.0000 0.0000 0.0000 [2 per cell]  4 Si 2.90-3.10, 4 Au 2.99-3.03
2 Si 0.0000 0.5000 0.2391 [2 per cell]  2 Au 2.49
3 Au 0.0000 0.0000 0.5644 [2 per cell]  2 Si 2.49
4 Au 0.0000 0.5000 0.7860 [2 per cell]  4 Au 2.99-3.02, 4 Y 2.99-3.03, 4 Si 3.28

=====

2.
## YSi2Au (PBE)

Data for a geometry-optimized YSi2Au structure.

The calculation puts the raw formation energy at -24.8 kJ per mole of atoms. Its energy is -5.404 eV/atom. The calculation puts the total magnetic moment at 0.00 Bohr magnetons per cell. The density of states at the Fermi level comes out at 0.384 states/eV per atom.

a b c (Å): 4.4900 4.4900 17.3308
angles (deg): 90.00 90.00 90.00
Closest atoms and distances in Å follow each position.
Space group I-42d (No. 122)
Inequivalent atoms, fractional coordinates:
1 Y 0.0000 0.0000 0.0000 [4 per cell]  4 Si 2.94, 4 Au 3.17
2 Si 0.1365 0.2500 0.6250 [8 per cell]  2 Au 2.52, 2 Si 2.56
3 Au 0.0000 0.0000 0.5000 [4 per cell]  4 Si 2.52

=====

3.
## YSi2Au (PBE)

Data for a geometry-optimized YSi2Au structure.

The calculation puts the raw formation energy at -33.6 kJ per mole of atoms. Its energy is -5.495 eV/atom. The calculation puts the total magnetic moment at 0.00 Bohr magnetons per cell. The density of states at the Fermi level comes out at 0.493 states/eV per atom.

a b c (Å): 4.3215 4.3215 3.9880
angles (deg): 90.00 90.00 90.00
Closest atoms and distances in Å follow each position.
Space group P4/mmm (No. 123)
Inequivalent atoms, fractional coordinates:
1 Y 0.0000 0.0000 0.0000 [1 per cell]  8 Si 2.94, 4 Au 3.06
2 Si 0.0000 0.5000 0.5000 [2 per cell]  4 Y 2.94, 4 Au 2.94, 4 Si 3.06
3 Au 0.5000 0.5000 0.0000 [1 per cell]  8 Si 2.94, 4 Y 3.06

=====

4.
## YSiAu2 (PBE)

Data for a geometry-optimized YSiAu2 structure.

The calculation puts the raw formation energy at -46.1 kJ per mole of atoms. Its energy is -5.088 eV/atom. The calculation puts the total magnetic moment at 0.00 Bohr magnetons per cell. The density of states at the Fermi level comes out at 0.408 states/eV per atom.

a b c (Å): 4.2104 4.6186 8.1824
angles (deg): 90.00 90.00 90.00
Closest atoms and distances in Å follow each position.
Space group Immm (No. 71)
Inequivalent atoms, fractional coordinates:
1 Y 0.0000 0.0000 0.0000 [2 per cell]  8 Au 2.98-3.05, 4 Si 3.12
2 Si 0.0000 0.0000 0.5000 [2 per cell]  4 Au 2.83, 4 Y 3.12
3 Au 0.0000 0.5000 0.2307 [4 per cell]  2 Si 2.83, 4 Y 2.98-3.05, 4 Au 3.14

=====

5.
## YSiAu3 (PBE)

Data for a geometry-optimized YSiAu3 structure.

The calculation puts the energy above the most stable polymorph in this dataset at 256 meV per atom. The calculation puts the raw formation energy at -26.5 kJ per mole of atoms. Its energy is -4.619 eV/atom. The calculation puts the total magnetic moment at 0.00 Bohr magnetons per cell. The density of states at the Fermi level comes out at 0.729 states/eV per atom.

a b c (Å): 4.7948 4.7948 4.7948
angles (deg): 90.00 90.00 90.00
Closest atoms and distances in Å follow each position.
Space group Pm-3m (No. 221)
Inequivalent atoms, fractional coordinates:
1 Y 0.0000 0.0000 0.0000 [1 per cell]  12 Au 3.39
2 Si 0.5000 0.5000 0.5000 [1 per cell]  6 Au 2.40
3 Au 0.0000 0.5000 0.5000 [3 per cell]  2 Si 2.40

=====

6.
## YSiAu2 (PBE)

Data for a geometry-optimized YSiAu2 structure.

The calculation puts the raw formation energy at -34.8 kJ per mole of atoms. Its energy is -4.971 eV/atom. The calculation puts the total magnetic moment at 0.00 Bohr magnetons per cell. The density of states at the Fermi level comes out at 0.519 states/eV per atom.

a b c (Å): 3.5147 3.5147 6.5601
angles (deg): 90.00 90.00 90.00
Closest atoms and distances in Å follow each position.
Space group P4mm (No. 99)
Inequivalent atoms, fractional coordinates:
1 Y 0.0000 0.0000 0.0000 [1 per cell]  5 Au 3.00-3.09, 4 Si 3.31
2 Si 0.5000 0.5000 0.6656 [1 per cell]  5 Au 2.64-2.68
3 Au 0.0000 0.0000 0.5289 [1 per cell]  4 Si 2.64
4 Au 0.5000 0.5000 0.2573 [1 per cell]  1 Si 2.68

=====

7.
## Y2SiAu2 (PBE)

Data for a geometry-optimized Y2SiAu2 structure.

The calculation puts the energy above the most stable polymorph in this dataset at 0 meV per atom. The calculation puts the raw formation energy at -61.7 kJ per mole of atoms. Its energy is -5.621 eV/atom. The calculation puts the total magnetic moment at 0.00 Bohr magnetons per cell. The density of states at the Fermi level comes out at 0.527 states/eV per atom.

a b c (Å): 7.6424 7.6424 3.8621
angles (deg): 90.00 90.00 90.00
Closest atoms and distances in Å follow each position.
Space group P4/mbm (No. 127)
Inequivalent atoms, fractional coordinates:
1 Y 0.1725 0.3275 0.0000 [4 per cell]  6 Au 2.88-3.03
2 Si 0.0000 0.0000 0.5000 [2 per cell]  4 Au 3.00
3 Au 0.1301 0.6301 0.5000 [4 per cell]  1 Au 2.81, 6 Y 2.88-3.03, 2 Si 3.00

=====

8.
## YSiAu2 (PBE)

Data for a geometry-optimized YSiAu2 structure.

The calculation puts the raw formation energy at -52.0 kJ per mole of atoms. Its energy is -5.150 eV/atom. The calculation puts the total magnetic moment at 0.00 Bohr magnetons per cell. The density of states at the Fermi level comes out at 0.422 states/eV per atom.

a b c (Å): 8.2127 4.2557 5.2420
angles (deg): 90.00 116.02 90.00
Closest atoms and distances in Å follow each position.
Space group Cm (No. 8)
Inequivalent atoms, fractional coordinates:
1 Y 0.0000 0.0000 0.0000 [2 per cell]  7 Au 2.96-3.20, 3 Si 2.97-3.04
2 Si 0.2548 0.5000 0.3830 [2 per cell]  5 Au 2.60-2.72
3 Au 0.2191 0.0000 0.6781 [2 per cell]  2 Si 2.72, 1 Au 2.93, 3 Y 2.96-3.05
4 Au 0.4295 0.0000 0.3491 [2 per cell]  3 Si 2.60-2.62

=====

9.
## YSi2Au (PBE)

Data for a geometry-optimized YSi2Au structure.

The calculation puts the raw formation energy at -38.6 kJ per mole of atoms. Its energy is -5.547 eV/atom. The calculation puts the total magnetic moment at 0.00 Bohr magnetons per cell. The density of states at the Fermi level comes out at 0.375 states/eV per atom.

a b c (Å): 4.5427 3.9894 4.5573
angles (deg): 90.00 100.13 90.00
Closest atoms and distances in Å follow each position.
Space group Pm (No. 6)
Inequivalent atoms, fractional coordinates:
1 Y 0.0000 0.0000 0.0000 [1 per cell]  7 Si 2.91-3.11, 2 Au 3.18
2 Si 0.5710 0.0000 0.4081 [1 per cell]  2 Si 2.48, 2 Au 2.61
3 Si 0.8990 0.5000 0.4675 [1 per cell]  2 Au 2.45-2.63, 2 Si 2.48
4 Au 0.4220 0.5000 0.7199 [1 per cell]  4 Si 2.45-2.63

=====

10.
## YSi2Au (PBE)

Data for a geometry-optimized YSi2Au structure.

The calculation puts the raw formation energy at -30.5 kJ per mole of atoms. Its energy is -5.462 eV/atom. The calculation puts the total magnetic moment at 0.00 Bohr magnetons per cell. The density of states at the Fermi level comes out at 0.440 states/eV per atom.

a b c (Å): 4.0303 4.0303 9.2489
angles (deg): 90.00 90.00 90.00
Closest atoms and distances in Å follow each position.
Space group I-4m2 (No. 119)
Inequivalent atoms, fractional coordinates:
1 Y 0.0000 0.0000 0.0000 [2 per cell]  8 Si 2.85-3.07, 4 Au 3.07
2 Si 0.0000 0.0000 0.5000 [2 per cell]  4 Y 2.85, 4 Si 3.07, 4 Au 3.07
3 Si 0.0000 0.5000 0.2500 [2 per cell]  4 Au 2.85, 4 Y 3.07, 4 Si 3.07
4 Au 0.0000 0.5000 0.7500 [2 per cell]  8 Si 2.85-3.07, 4 Y 3.07